# PBE-GGA Co2OsW, optimized geometry
data_Co2OsW
_cell_length_a 4.519
_cell_length_b 4.519
_cell_length_c 2.654
_cell_angle_alpha 89.99
_cell_angle_beta 89.99
_cell_angle_gamma 108.81
_space_group_name_H-M_alt 'P 1'
_space_group_IT_number 1
loop_
_space_group_symop_operation_xyz
'x,y,z'
loop_
_atom_site_label
_atom_site_type_symbol
_atom_site_fract_x
_atom_site_fract_y
_atom_site_fract_z
Co1 Co 0.500 0.500 0.000
Co2 Co 0.000 0.000 0.000
W1 W 0.000 0.500 0.500
Os1 Os 0.500 0.000 0.500
# Space group = Cmmm
# Fermi-level density of states = 4.32 states/eV per cell
# E above lowest polymorph = 0.096 eV/atom
# Energy of formation = 0.096 eV/atom